[1]
The following is a PBE calculation of an optimized crystal structure of YCd2Pb3, from Alexandria.

The space group is Cmmm (No. 65) and the conventional cell measures 5.1919, 16.0254 and 3.9712 Å, with angles of 90.00, 90.00 and 90.00 degrees. The distinct sites, in fractional coordinates, are Y at (0.0000, 0.0000, 0.0000), Cd at (0.0000, 0.3432, 0.0000), Pb at (0.0000, 0.1767, 0.5000) and Pb at (0.0000, 0.5000, 0.5000).

As for the formation energy: -0.15 eV per atom.

***

[2]
The following is a PBE calculation of an optimized crystal structure of CeNdTcRh, from Alexandria.

The space group is F-43m (No. 216) and the conventional cell measures 7.0006, 7.0006 and 7.0006 Å, with angles of 90.00, 90.00 and 90.00 degrees. The distinct sites, in fractional coordinates, are Ce at (0.0000, 0.0000, 0.0000), Nd at (0.0000, 0.0000, 0.5000), Tc at (0.2500, 0.2500, 0.2500) and Rh at (0.2500, 0.2500, 0.7500).

As for the formation energy: -0.22 eV per atom.

***

[3]
The following is a PBE calculation of an optimized crystal structure of Pm2Nd6TmMg, from Alexandria.

The space group is C2/c (No. 15) and the conventional cell measures 9.3158, 15.2058 and 9.5924 Å, with angles of 90.00, 97.34 and 90.00 degrees. The distinct sites, in fractional coordinates, are Pm at (0.2464, 0.0491, 0.4516), Nd at (0.0530, 0.3190, 0.9486), Nd at (0.1061, 0.1047, 0.1122), Nd at (0.2145, 0.2853, 0.3035), Tm at (0.0000, 0.4796, 0.2500) and Mg at (0.0000, 0.0887, 0.7500).

As for the formation energy: 0.11 eV per atom.

***

[4]
The following is a PBE calculation of an optimized crystal structure of Pu2SbPd, from Alexandria.

The space group is Imma (No. 74) and the conventional cell measures 5.9226, 8.4969 and 7.3565 Å, with angles of 90.00, 90.00 and 90.00 degrees. The distinct sites, in fractional coordinates, are Pu at (0.2500, 0.0379, 0.2500), Sb at (0.0000, 0.2500, 0.5516) and Pd at (0.0000, 0.2500, 0.9541).

The uncorrected formation energy comes out at -0.56 eV per atom. The value obtained for the energy above the most stable polymorph in this dataset is 0 meV/atom.